Below is a relaxed NaY5Cd6 crystal, with properties calculated at the PBE level.

Results
Total DFT energy (no corrections) (eV per cell): -42.68
ΔE_f (eV per atom): -0.296

Lattice parameters (Å, degrees): 5.2884 7.4969 8.3497 90.00 71.36 90.00
Sites, in units of the cell vectors:
Y: 0.3330 0.5000 0.3338
Y: 0.3343 0.0000 0.3307
Y: 0.6670 0.5000 0.6662
Y: 0.0000 0.5000 0.0000
Y: 0.6657 0.0000 0.6693
Cd: 0.1665 0.2468 0.6676
Cd: 0.5000 0.7483 0.0000
Cd: 0.8335 0.7532 0.3324
Cd: 0.1665 0.7532 0.6676
Cd: 0.5000 0.2517 0.0000
Cd: 0.8335 0.2468 0.3324
Na: 0.0000 0.0000 0.0000

Below is a relaxed CoRe crystal, with properties calculated at the PBE level.

Results
Total DFT energy (no corrections) (eV per cell): -18.87
ΔE_f (eV per atom): 0.340

Lattice parameters (Å, degrees): 2.9585 2.9585 2.9585 90.00 90.00 90.00
Last column: magnetic moment on the atom in μB.
Sites, in units of the cell vectors:
Re: 0.5000 0.5000 0.5000  0.29
Co: 0.0000 0.0000 0.0000  1.34

Below is a relaxed Er4TmPu crystal, with properties calculated at the PBE level.

Results
Energy above the most stable polymorph in this dataset (eV per atom): 0.653
Total DFT energy (no corrections) (eV per cell): -65.52
ΔE_f (eV per atom): 0.715

Lattice parameters (Å, degrees): 8.6136 8.6136 8.6136 98.60 98.60 134.51
Last column: magnetic moment on the atom in μB.
Sites, in units of the cell vectors:
Er: 0.7495 0.0019 0.2523  0.27
Er: 0.2602 0.9882 0.7280  0.11
Er: 0.2602 0.5322 0.2720  0.11
Er: 0.7519 0.9995 0.7523  0.27
Er: 0.7382 0.5102 0.2280  0.11
Er: 0.2472 0.9995 0.2477  0.27
Er: 0.7495 0.4972 0.7477  0.27
Er: 0.2822 0.5102 0.7720  0.11
Pu: 0.5017 0.0017 0.5000  5.61
Pu: 0.7517 0.7517 0.0000  5.61
Tm: 0.9789 0.4789 0.5000  0.03
Tm: 0.2289 0.2289 0.0000  0.03

Below is a relaxed NbRh crystal, with properties calculated at the PBE level.

Results
Total DFT energy (no corrections) (eV per cell): -63.85
ΔE_f (eV per atom): 0.730

Lattice parameters (Å, degrees): 5.7407 5.7407 5.7407 90.00 90.00 90.00
Sites, in units of the cell vectors:
Nb: 0.2500 0.2500 0.2500
Nb: 0.7500 0.7500 0.2500
Nb: 0.7500 0.2500 0.7500
Nb: 0.2500 0.7500 0.7500
Rh: 0.0000 0.0000 0.0000
Rh: 0.5000 0.5000 0.0000
Rh: 0.0000 0.5000 0.5000
Rh: 0.5000 0.0000 0.5000

Below is a relaxed BiSeCl crystal, with properties calculated at the PBE level.

Results
Formation energy (no corrections) (eV/atom): -0.604
Total DFT energy (no corrections) (eV per cell): -44.09

Lattice parameters (Å, degrees): 7.2265 4.1021 15.0560 90.00 116.76 90.00
Sites, in units of the cell vectors:
Bi: 0.1801 0.5000 0.0958
Bi: 0.4369 0.0000 0.8740
Bi: 0.4369 0.5000 0.3740
Bi: 0.1801 0.0000 0.5958
Se: 0.4602 0.0000 0.5059
Se: 0.4602 0.5000 0.0059
Se: 0.4557 0.5000 0.7106
Se: 0.4557 0.0000 0.2106
Cl: 0.0349 0.5000 0.2465
Cl: 0.8874 0.0000 0.9627
Cl: 0.8874 0.5000 0.4627
Cl: 0.0349 0.0000 0.7465

Below is a relaxed Ce8HIr3I4 crystal, with properties calculated at the PBE level.

Results
Total DFT energy (no corrections) (eV per cell): -96.34

Lattice parameters (Å, degrees): 8.1955 9.2699 8.1963 116.24 120.00 90.00
Last column: magnetic moment on the atom in μB.
Sites, in units of the cell vectors:
Ir: 0.0000 0.5000 0.5000  -0.06
Ir: 0.5000 0.5000 0.0000  -0.06
Ir: 0.5000 0.5000 0.5000  -0.06
I: 0.5000 0.0000 0.5000  -0.01
I: 0.0000 0.0000 0.0000  -0.01
I: 0.5000 0.0000 0.0000  -0.01
I: 0.0000 0.0000 0.5000  -0.01
H: 0.0000 0.5000 0.0000  -0.02
Ce: 0.2623 0.3123 0.0372  0.99
Ce: 0.7749 0.3123 0.5497  0.99
Ce: 0.7284 0.6851 0.4568  0.67
Ce: 0.2251 0.6877 0.4503  0.99
Ce: 0.2251 0.6877 0.9628  0.99
Ce: 0.7749 0.3123 0.0372  0.99
Ce: 0.2716 0.3149 0.5432  0.67
Ce: 0.7377 0.6877 0.9628  0.99

Below is a relaxed Li2TbSm2Si2 crystal, with properties calculated at the PBE level.

Results
Formation energy (no corrections) (eV/atom): -0.394
Total DFT energy (no corrections) (eV per cell): -31.50

Lattice parameters (Å, degrees): 4.4304 4.4304 9.5771 76.63 76.63 60.00
Sites, in units of the cell vectors:
Sm: 0.8752 0.8752 0.3745
Sm: 0.1248 0.1248 0.6255
Tb: 0.0000 0.0000 0.0000
Li: 0.3935 0.3935 0.8195
Li: 0.6065 0.6065 0.1805
Si: 0.2680 0.2680 0.1961
Si: 0.7320 0.7320 0.8039

Below is a relaxed TmPuNiAu crystal, with properties calculated at the PBE level.

Results
Total DFT energy (no corrections) (eV per cell): -29.24
ΔE_f (eV per atom): -0.343

Lattice parameters (Å, degrees): 4.9476 4.9476 4.9476 60.00 60.00 60.00
Last column: magnetic moment on the atom in μB.
Sites, in units of the cell vectors:
Tm: 0.7500 0.7500 0.7500  0.12
Au: 0.5000 0.5000 0.5000  0.03
Pu: 0.2500 0.2500 0.2500  5.21
Ni: 0.0000 0.0000 0.0000  -0.09